No. 1
## LiPmEr4S8 (PBE)

Data for a relaxed structure of LiPmEr4S8.

The structure in POSCAR format:
```
LiPmEr4S8
1.0
3.977 2.296 6.601
-3.977 2.296 6.601
0.000 -4.593 6.601
Li Pm Er S
1 1 4 8
direct
0.000 0.000 0.000
0.629 0.629 0.629
0.110 0.629 0.629
0.251 0.251 0.251
0.629 0.110 0.629
0.629 0.629 0.110
0.377 0.377 0.853
0.377 0.853 0.377
0.383 0.383 0.383
0.393 0.873 0.873
0.853 0.377 0.377
0.867 0.867 0.867
0.873 0.393 0.873
0.873 0.873 0.393
```

Computed properties:
ΔE_f (raw) ... -2647 kJ/mol of formula units
Total magnetization ... 0.00 μB per cell
VASP energy ... -6.0979 eV per atom
Volume ... 25.84 Å³/atom
Crystal system ... trigonal
SG ... No. 160
N(E_F) ... 0.00 states/eV/cell

***

No. 2
## InPtCl2 (PBE)

Data for a relaxed structure of InPtCl2.

The structure in POSCAR format:
```
InPtCl2
1.0
3.247 0.000 0.000
0.000 4.417 0.000
0.000 0.000 5.695
In Pt Cl
1 1 2
direct
0.000 0.000 0.000
0.500 0.000 0.500
0.000 0.500 0.500
0.500 0.500 0.000
```

Computed properties:
ΔE_f (raw) ... 7 kJ/mol of formula units
Total magnetization ... 0.00 μB per cell
VASP energy ... -3.1011 eV per atom
Volume ... 20.42 Å³/atom
Crystal system ... orthorhombic
SG ... No. 47
N(E_F) ... 2.26 states/eV/cell
Relative energy among the computed polymorphs ... 0.454 eV per atom

***

No. 3
## YZnSb2Te (PBE)

Data for a relaxed structure of YZnSb2Te.

The structure in POSCAR format:
```
YZnSb2Te
1.0
5.855 0.000 0.000
0.000 5.855 0.000
0.000 0.000 5.785
Y Zn Sb Te
1 1 2 1
direct
0.000 0.000 0.000
0.500 0.500 0.500
0.000 0.500 0.000
0.500 0.000 0.000
0.000 0.000 0.500
```

Computed properties:
ΔE_f (raw) ... 141 kJ/mol of formula units
Total magnetization ... 0.00 μB per cell
VASP energy ... -3.5320 eV per atom
Volume ... 39.67 Å³/atom
Crystal system ... tetragonal
SG ... No. 123
N(E_F) ... 6.53 states/eV/cell
Relative energy among the computed polymorphs ... 0.233 eV per atom

***

No. 4
## Pr2Al4GaAg3 (PBE)

Data for a relaxed structure of Pr2Al4GaAg3.

The structure in POSCAR format:
```
Pr2Al4GaAg3
1.0
4.416 0.000 0.000
0.000 4.416 0.000
0.000 0.000 10.731
Pr Al Ga Ag
2 4 1 3
direct
0.000 0.500 0.248
0.500 0.000 0.752
0.000 0.000 0.500
0.000 0.500 0.866
0.500 0.000 0.134
0.500 0.500 0.500
0.500 0.500 0.000
0.000 0.000 0.000
0.000 0.500 0.630
0.500 0.000 0.370
```

Computed properties:
Energy of formation ... -9.07 kcal/mol of atoms
Total magnetization ... 0.00 μB per cell
VASP energy ... -4.0041 eV per atom
Volume ... 20.93 Å³/atom
Crystal system ... tetragonal
SG ... No. 115
N(E_F) ... 3.99 states/eV/cell

***

No. 5
## RbAg5Cl8 (PBE)

Data for a relaxed structure of RbAg5Cl8.

The structure in POSCAR format:
```
RbAg5Cl8
1.0
4.225 0.000 0.000
0.972 9.202 0.000
1.872 2.322 9.336
Rb Ag Cl
1 5 8
direct
0.000 0.000 0.000
0.086 0.460 0.688
0.218 0.833 0.586
0.499 0.500 0.000
0.780 0.167 0.415
0.912 0.540 0.312
0.135 0.666 0.839
0.274 0.001 0.332
0.283 0.341 0.476
0.455 0.691 0.148
0.544 0.309 0.853
0.715 0.659 0.524
0.724 0.999 0.669
0.864 0.333 0.162
```

Computed properties:
ΔE_f (raw) ... -834 kJ/mol of formula units
Total magnetization ... 0.00 μB per cell
VASP energy ... -2.7603 eV per atom
Volume ... 25.93 Å³/atom
Crystal system ... triclinic
SG ... No. 1
N(E_F) ... 8.38 states/eV/cell
Relative energy among the computed polymorphs ... 0.000 eV per atom

***

No. 6
## SeI2N (PBE)

Data for a relaxed structure of SeI2N.

The structure in POSCAR format:
```
SeI2N
1.0
0.000 3.537 3.537
3.537 0.000 3.537
3.537 3.537 0.000
Se I N
1 2 1
direct
0.000 0.000 0.000
0.250 0.250 0.250
0.750 0.750 0.750
0.500 0.500 0.500
```

Computed properties:
ΔE_f (raw) ... 693 kJ/mol of formula units
Total magnetization ... 0.00 μB per cell
VASP energy ... -1.9314 eV per atom
Volume ... 22.13 Å³/atom
Crystal system ... cubic
SG ... No. 225
N(E_F) ... 3.27 states/eV/cell
Relative energy among the computed polymorphs ... 1.158 eV per atom

***

No. 7
## Tm4MgSc (PBE)

Data for a relaxed structure of Tm4MgSc.

The structure in POSCAR format:
```
Tm4MgSc
1.0
5.053 -6.311 0.000
5.053 6.311 0.000
-3.373 0.000 5.309
Tm Mg Sc
8 2 2
direct
0.023 0.642 0.264
0.088 0.236 0.239
0.236 0.088 0.739
0.358 0.977 0.236
0.642 0.023 0.764
0.764 0.912 0.261
0.912 0.764 0.761
0.977 0.358 0.736
0.417 0.583 0.250
0.583 0.417 0.750
0.333 0.667 0.750
0.667 0.333 0.250
```

Computed properties:
Energy of formation ... 1.63 kcal/mol of atoms
Total magnetization ... 0.00 μB per cell
VASP energy ... -4.2313 eV per atom
Volume ... 28.22 Å³/atom
Crystal system ... monoclinic
SG ... No. 15
N(E_F) ... 19.90 states/eV/cell
Relative energy among the computed polymorphs ... 0.064 eV per atom

***

No. 8
## Ca2VI (PBE)

Data for a relaxed structure of Ca2VI.

The structure in POSCAR format:
```
Ca2VI
1.0
0.000 3.946 3.946
3.946 0.000 3.946
3.946 3.946 0.000
Ca V I
2 1 1
direct
0.250 0.250 0.250
0.750 0.750 0.750
0.000 0.000 0.000
0.500 0.500 0.500
```

Computed properties:
ΔE_f (raw) ... 98 kJ/mol of formula units
Total magnetization ... 5.21 μB per cell
VASP energy ... -3.4149 eV per atom
Volume ... 30.72 Å³/atom
Crystal system ... cubic
SG ... No. 225
N(E_F) ... 4.37 states/eV/cell
Relative energy among the computed polymorphs ... 0.000 eV per atom

***

No. 9
## CrSiAu2 (PBE)

Data for a relaxed structure of CrSiAu2.

The structure in POSCAR format:
```
CrSiAu2
1.0
0.000 3.208 3.208
3.208 0.000 3.208
3.208 3.208 0.000
Cr Si Au
1 1 2
direct
0.000 0.000 0.000
0.250 0.250 0.250
0.500 0.500 0.500
0.750 0.750 0.750
```

Computed properties:
ΔE_f (raw) ... 86 kJ/mol of formula units
Total magnetization ... 3.72 μB per cell
VASP energy ... -5.1778 eV per atom
Volume ... 16.51 Å³/atom
Crystal system ... cubic
SG ... No. 216
N(E_F) ... 2.11 states/eV/cell

***

No. 10
## Ac2MnIr9 (PBE)

Data for a relaxed structure of Ac2MnIr9.

The structure in POSCAR format:
```
Ac2MnIr9
1.0
2.679 1.547 9.070
-2.679 1.547 9.070
0.000 -3.093 9.070
Ac Mn Ir
2 1 9
direct
0.137 0.137 0.137
0.863 0.863 0.863
0.000 0.000 0.000
0.082 0.576 0.576
0.332 0.332 0.332
0.424 0.424 0.918
0.424 0.918 0.424
0.500 0.500 0.500
0.576 0.082 0.576
0.576 0.576 0.082
0.668 0.668 0.668
0.918 0.424 0.424
```

Computed properties:
Energy of formation ... -2.16 kcal/mol of atoms
Total magnetization ... 4.42 μB per cell
VASP energy ... -8.1884 eV per atom
Volume ... 18.79 Å³/atom
Crystal system ... trigonal
SG ... No. 166
N(E_F) ... 9.91 states/eV/cell

***

No. 11
## LiMoPt2 (PBE)

Data for a relaxed structure of LiMoPt2.

The structure in POSCAR format:
```
LiMoPt2
1.0
-1.362 2.208 5.381
1.362 -2.208 5.381
1.362 2.208 -5.381
Li Mo Pt
1 1 2
direct
0.000 0.000 0.000
0.293 0.793 0.500
0.500 0.500 0.000
0.722 0.222 0.500
```

Computed properties:
Energy of formation ... -6.05 kcal/mol of atoms
Total magnetization ... 0.00 μB per cell
VASP energy ... -6.4689 eV per atom
Volume ... 16.18 Å³/atom
Crystal system ... orthorhombic
SG ... No. 44
N(E_F) ... 2.16 states/eV/cell
Relative energy among the computed polymorphs ... 0.183 eV per atom

***

No. 12
## TbSm5Y5 (PBE)

Data for a relaxed structure of TbSm5Y5.

The structure in POSCAR format:
```
TbSm5Y5
1.0
9.491 -3.012 0.000
9.491 3.012 0.000
-2.518 0.000 6.527
Tb Sm Y
1 5 5
direct
0.000 0.000 0.000
0.000 0.000 0.500
0.330 0.330 0.827
0.376 0.376 0.372
0.624 0.624 0.628
0.670 0.670 0.173
0.177 0.177 0.930
0.178 0.178 0.423
0.500 0.500 0.000
0.822 0.822 0.577
0.823 0.823 0.070
```

Computed properties:
Energy of formation ... 6.16 kcal/mol of atoms
Total magnetization ... 1.40 μB per cell
VASP energy ... -5.2369 eV per atom
Volume ... 33.93 Å³/atom
Crystal system ... monoclinic
SG ... No. 12
N(E_F) ... 19.57 states/eV/cell

***

No. 13
## Pm6BiSb3Pb2 (PBE)

Data for a relaxed structure of Pm6BiSb3Pb2.

The structure in POSCAR format:
```
Pm6BiSb3Pb2
1.0
9.931 -2.220 0.000
9.931 2.220 0.000
-2.375 0.000 8.901
Pm Bi Sb Pb
6 1 3 2
direct
0.001 0.001 0.246
0.332 0.332 0.421
0.336 0.336 0.908
0.664 0.664 0.092
0.668 0.668 0.579
0.999 0.999 0.754
0.500 0.500 0.500
0.166 0.166 0.335
0.500 0.500 0.000
0.834 0.834 0.665
0.168 0.168 0.837
0.832 0.832 0.163
```

Computed properties:
ΔE_f (raw) ... -1023 kJ/mol of formula units
Total magnetization ... 0.00 μB per cell
VASP energy ... -5.2311 eV per atom
Volume ... 32.71 Å³/atom
Crystal system ... monoclinic
SG ... No. 12
N(E_F) ... 6.58 states/eV/cell

***

No. 14
## Mg2InAs (PBE)

Data for a relaxed structure of Mg2InAs.

The structure in POSCAR format:
```
Mg2InAs
1.0
4.450 -1.770 0.000
4.450 1.770 0.000
-1.693 0.000 5.738
Mg In As
2 1 1
direct
0.234 0.234 0.231
0.766 0.766 0.769
0.000 0.000 0.500
0.500 0.500 0.000
```

Computed properties:
Energy of formation ... -3.53 kcal/mol of atoms
Total magnetization ... 0.00 μB per cell
VASP energy ... -2.7973 eV per atom
Volume ... 22.60 Å³/atom
Crystal system ... monoclinic
SG ... No. 12
N(E_F) ... 0.92 states/eV/cell
Relative energy among the computed polymorphs ... 0.123 eV per atom

***

No. 15
## Al4ZnPd7 (PBE)

Data for a relaxed structure of Al4ZnPd7.

The structure in POSCAR format:
```
Al4ZnPd7
1.0
5.938 -2.274 0.000
5.938 2.274 0.000
-5.511 0.000 7.194
Al Zn Pd
4 1 7
direct
0.079 0.079 0.288
0.213 0.213 0.842
0.787 0.787 0.158
0.921 0.921 0.712
0.500 0.500 0.500
0.000 0.000 0.500
0.145 0.145 0.073
0.286 0.286 0.636
0.425 0.425 0.175
0.575 0.575 0.825
0.714 0.714 0.364
0.855 0.855 0.927
```

Computed properties:
Energy of formation ... -13.30 kcal/mol of atoms
Total magnetization ... 0.00 μB per cell
VASP energy ... -4.9595 eV per atom
Volume ... 16.19 Å³/atom
Crystal system ... monoclinic
SG ... No. 12
N(E_F) ... 4.50 states/eV/cell

***

No. 16
## PuZn5Au6 (PBE)

Data for a relaxed structure of PuZn5Au6.

The structure in POSCAR format:
```
PuZn5Au6
1.0
6.318 -3.463 0.000
6.318 3.463 0.000
-0.656 0.000 5.021
Pu Zn Au
1 5 6
direct
0.000 0.000 0.000
0.150 0.150 0.547
0.328 0.328 0.274
0.500 0.500 0.000
0.672 0.672 0.726
0.850 0.850 0.453
0.108 0.528 0.801
0.282 0.718 0.500
0.472 0.892 0.199
0.528 0.108 0.801
0.718 0.282 0.500
0.892 0.472 0.199
```

Computed properties:
Energy of formation ... -4.73 kcal/mol of atoms
Total magnetization ... 5.72 μB per cell
VASP energy ... -3.5687 eV per atom
Volume ... 18.31 Å³/atom
Crystal system ... monoclinic
SG ... No. 12
N(E_F) ... 17.02 states/eV/cell

***

No. 17
## CdCoAg2 (PBE)

Data for a relaxed structure of CdCoAg2.

The structure in POSCAR format:
```
CdCoAg2
1.0
4.842 -1.445 0.000
4.842 1.445 0.000
-1.021 0.000 4.816
Cd Co Ag
1 1 2
direct
0.000 0.000 0.000
0.500 0.500 0.500
0.240 0.240 0.738
0.760 0.760 0.262
```

Computed properties:
Energy of formation ... 6.06 kcal/mol of atoms
Total magnetization ... 1.47 μB per cell
VASP energy ... -3.1680 eV per atom
Volume ... 16.84 Å³/atom
Crystal system ... monoclinic
SG ... No. 12
N(E_F) ... 4.82 states/eV/cell

***

No. 18
## SmPuTlRh (PBE)

Data for a relaxed structure of SmPuTlRh.

The structure in POSCAR format:
```
SmPuTlRh
1.0
3.432 0.000 0.000
0.000 3.432 0.000
0.000 0.000 8.393
Sm Pu Tl Rh
1 1 1 1
direct
0.000 0.000 0.000
0.000 0.000 0.587
0.500 0.500 0.297
0.500 0.500 0.792
```

Computed properties:
Energy of formation ... -8.58 kcal/mol of atoms
Total magnetization ... 5.44 μB per cell
VASP energy ... -7.5642 eV per atom
Volume ... 24.72 Å³/atom
Crystal system ... tetragonal
SG ... No. 99
N(E_F) ... 10.74 states/eV/cell
Relative energy among the computed polymorphs ... 0.000 eV per atom

***

No. 19
## Nd3TmTl2 (PBE)

Data for a relaxed structure of Nd3TmTl2.

The structure in POSCAR format:
```
Nd3TmTl2
1.0
5.229 0.000 0.000
0.000 10.305 0.000
0.000 0.000 6.840
Nd Tm Tl
6 2 4
direct
0.000 0.037 0.000
0.000 0.323 0.362
0.000 0.677 0.862
0.000 0.963 0.500
0.500 0.190 0.735
0.500 0.810 0.235
0.500 0.462 0.089
0.500 0.538 0.589
0.000 0.364 0.845
0.000 0.636 0.345
0.500 0.139 0.255
0.500 0.861 0.755
```

Computed properties:
Energy of formation ... -6.10 kcal/mol of atoms
Total magnetization ... 0.00 μB per cell
VASP energy ... -4.1822 eV per atom
Volume ... 30.71 Å³/atom
Crystal system ... orthorhombic
SG ... No. 26
N(E_F) ... 12.73 states/eV/cell
Relative energy among the computed polymorphs ... 0.000 eV per atom

***

No. 20
## RbHoVS4 (PBE)

Data for a relaxed structure of RbHoVS4.

The structure in POSCAR format:
```
RbHoVS4
1.0
6.543 0.000 0.000
0.000 6.729 0.000
-2.776 0.000 8.618
Rb Ho V S
2 2 2 8
direct
0.245 0.250 0.443
0.755 0.750 0.557
0.291 0.250 0.956
0.709 0.750 0.044
0.254 0.750 0.159
0.746 0.250 0.841
0.053 0.750 0.921
0.059 0.750 0.316
0.497 0.503 0.196
0.497 0.997 0.196
0.503 0.003 0.804
0.503 0.497 0.804
0.941 0.250 0.684
0.947 0.250 0.079
```

Computed properties:
ΔE_f (raw) ... -925 kJ/mol of formula units
Total magnetization ... 2.00 μB per cell
VASP energy ... -5.8231 eV per atom
Volume ... 27.10 Å³/atom
Crystal system ... monoclinic
SG ... No. 11
N(E_F) ... 7.34 states/eV/cell